## CrBIO2 (PBE+U)

Data for a relaxed structure of CrBIO2.

The spin magnetization comes out at 4.640 Bohr magnetons per cell. The calculated total energy comes out at -4.848 eV per atom.

The space group is P4/mmm (No. 123) and the conventional cell measures 3.558, 3.558 and 5.873 Å, with angles of 90.00, 90.00 and 90.00 degrees. The inequivalent atoms are Cr at (0.000, 0.000, 0.000), B at (0.500, 0.500, 0.500), I at (0.500, 0.500, 0.000) and O at (0.000, 0.500, 0.500).

## Cr3B7IO13 (PBE+U)

Data for a relaxed structure of Cr3B7IO13.

The spin magnetization comes out at 96.000 Bohr magnetons per cell. The calculated total energy comes out at -7.830 eV per atom.

The space group is F-43c (No. 219) and the conventional cell measures 12.341, 12.341 and 12.341 Å, with angles of 90.00, 90.00 and 90.00 degrees. The inequivalent atoms are Cr at (0.000, 0.000, 0.250), B at (0.000, 0.250, 0.250), B at (0.170, 0.170, 0.170), I at (0.000, 0.000, 0.000), O at (0.070, 0.155, 0.229) and O at (0.250, 0.250, 0.250).

## CrBI2O (PBE+U)

Data for a relaxed structure of CrBI2O.

The spin magnetization comes out at 2.989 Bohr magnetons per cell. The calculated total energy comes out at -4.039 eV per atom.

The space group is P4/mmm (No. 123) and the conventional cell measures 5.701, 5.701 and 3.693 Å, with angles of 90.00, 90.00 and 90.00 degrees. The inequivalent atoms are Cr at (0.000, 0.000, 0.000), B at (0.500, 0.500, 0.500), I at (0.000, 0.500, 0.000) and O at (0.000, 0.000, 0.500).

## CrBIO2 (PBE+U)

Data for a relaxed structure of CrBIO2.

The spin magnetization comes out at 2.496 Bohr magnetons per cell. The calculated total energy comes out at -5.021 eV per atom.

The space group is P4/mmm (No. 123) and the conventional cell measures 3.655, 3.655 and 7.430 Å, with angles of 90.00, 90.00 and 90.00 degrees. The inequivalent atoms are Cr at (0.000, 0.000, 0.000), B at (0.500, 0.500, 0.500), I at (0.000, 0.000, 0.500) and O at (0.000, 0.500, 0.000).

## CrBI2O (PBE+U)

Data for a relaxed structure of CrBI2O.

The spin magnetization comes out at 5.066 Bohr magnetons per cell. The calculated total energy comes out at -4.303 eV per atom.

The space group is P4/mmm (No. 123) and the conventional cell measures 5.775, 5.775 and 3.078 Å, with angles of 90.00, 90.00 and 90.00 degrees. The inequivalent atoms are Cr at (0.000, 0.000, 0.000), B at (0.500, 0.500, 0.500), I at (0.000, 0.500, 0.500) and O at (0.500, 0.500, 0.000).

Q: Among the records above, which one has the lowest spin magnetization?
A: number 4